1.
VASP calculation (PBE) on a relaxed PmHfMo4 crystal.

Cell: 5.467 5.467 5.467 Å, 60.00 60.00 60.00°
Fractional positions:
Mo 0.625 0.625 0.125
Mo 0.625 0.125 0.625
Mo 0.625 0.625 0.625
Mo 0.125 0.625 0.625
Hf 0.250 0.250 0.250
Pm 0.000 0.000 0.000

- Volume: 19.260 Å³/atom
- Density of states at the Fermi level: 5.38 states/eV/cell
- Energy relative to the elements: 0.082 eV/atom
- Total magnetic moment: 0.000 μB per formula unit


2.
VASP calculation (PBE) on a relaxed NaTiInI6 crystal.

Cell: 7.818 7.818 7.080 Å, 90.01 89.99 59.97°
Fractional positions:
Na 0.667 0.667 0.500
Ti 0.333 0.333 0.500
In 0.000 0.000 0.000
I 0.039 0.345 0.271
I 0.345 0.039 0.729
I 0.616 0.345 0.729
I 0.039 0.616 0.729
I 0.345 0.616 0.271
I 0.616 0.039 0.271

- Volume: 41.629 Å³/atom
- Formation energy from raw total energies: -6.7 eV/f.u.
- Total magnetic moment: 0.000 μB per formula unit


3.
VASP calculation (PBE) on a relaxed LiMg8 crystal.

Cell: 4.666 7.015 7.015 Å, 83.65 70.57 70.57°
Fractional positions:
Li 0.000 0.000 0.000
Mg 0.334 0.000 0.332
Mg 0.666 0.000 0.668
Mg 0.666 0.668 0.000
Mg 0.000 0.669 0.331
Mg 0.331 0.669 0.669
Mg 0.669 0.331 0.331
Mg 0.000 0.331 0.669
Mg 0.334 0.332 0.000

- Volume: 22.688 Å³/atom
- Density of states at the Fermi level: 3.21 states/eV/cell
- Energy relative to the elements: 0.001 eV/atom
- ΔE to the lowest computed polymorph: 0.000 eV per atom
- Total magnetic moment: 0.000 μB per formula unit


4.
VASP calculation (PBE) on a relaxed K2CaMn crystal.

Cell: 6.416 5.083 5.083 Å, 90.00 90.00 90.00°
Last column: magnetic moment on the atom in μB.
Fractional positions:
Ca 0.500 0.000 0.500  -0.05
K 0.000 0.000 0.000  -0.01
K 0.000 0.500 0.500  -0.01
Mn 0.500 0.500 0.000  4.24

- Volume: 41.447 Å³/atom
- Density of states at the Fermi level: 3.29 states/eV/cell
- Energy relative to the elements: 0.647 eV/atom
- ΔE to the lowest computed polymorph: 0.171 eV per atom
- Total magnetic moment: 4.332 μB per formula unit


5.
VASP calculation (PBE) on a relaxed Li2Bi2P crystal.

Cell: 7.498 7.498 4.414 Å, 90.00 90.00 90.00°
Fractional positions:
P 0.000 0.000 0.000
P 0.500 0.500 0.000
Bi 0.353 0.853 0.000
Bi 0.853 0.647 0.000
Bi 0.647 0.147 0.000
Bi 0.147 0.353 0.000
Li 0.156 0.656 0.500
Li 0.656 0.844 0.500
Li 0.844 0.344 0.500
Li 0.344 0.156 0.500

- Volume: 24.816 Å³/atom
- Density of states at the Fermi level: 4.16 states/eV/cell
- Energy relative to the elements: -0.019 eV/atom
- ΔE to the lowest computed polymorph: 0.079 eV per atom
- Total magnetic moment: 0.000 μB per formula unit


6.
VASP calculation (PBE) on a relaxed Al2CoHg crystal.

Cell: 4.303 3.125 4.723 Å, 90.02 90.00 90.00°
Fractional positions:
Co 0.000 0.375 0.472
Hg 0.500 0.875 0.720
Al 0.000 0.875 0.073
Al 0.500 0.375 0.234

- Volume: 15.878 Å³/atom
- Density of states at the Fermi level: 1.99 states/eV/cell
- Energy relative to the elements: 0.035 eV/atom
- ΔE to the lowest computed polymorph: 0.245 eV per atom
- Total magnetic moment: 0.001 μB per formula unit


7.
VASP calculation (PBE) on a relaxed PBrNF2 crystal.

Cell: 3.804 3.804 4.534 Å, 90.00 90.00 90.00°
Fractional positions:
P 0.000 0.000 0.000
N 0.000 0.000 0.500
Br 0.500 0.500 0.500
F 0.000 0.500 0.000
F 0.500 0.000 0.000

- Volume: 13.123 Å³/atom
- Density of states at the Fermi level: 2.39 states/eV/cell
- ΔE to the lowest computed polymorph: 0.000 eV per atom
- Formation energy from raw total energies: 0.2 eV/f.u.
- Total magnetic moment: 0.000 μB per formula unit


8.
VASP calculation (PBE) on a relaxed Ta4NiTe4 crystal.

Cell: 4.781 11.079 19.182 Å, 90.00 90.00 90.00°
Fractional positions:
Ni 0.250 0.500 0.500
Ni 0.750 0.000 0.000
Ni 0.750 0.500 0.500
Ni 0.250 0.000 0.000
Te 0.000 0.845 0.562
Te 0.000 0.155 0.438
Te 0.000 0.345 0.938
Te 0.000 0.655 0.062
Te 0.500 0.333 0.316
Te 0.500 0.667 0.684
Te 0.500 0.833 0.184
Te 0.500 0.167 0.816
Te 0.500 0.820 0.403
Te 0.500 0.180 0.597
Te 0.500 0.320 0.097
Te 0.500 0.680 0.903
Te 0.000 0.607 0.301
Te 0.000 0.393 0.699
Te 0.000 0.107 0.199
Te 0.000 0.893 0.801
Ta 0.500 0.563 0.384
Ta 0.500 0.437 0.616
Ta 0.500 0.063 0.116
Ta 0.500 0.937 0.884
Ta 0.500 0.701 0.536
Ta 0.500 0.299 0.464
Ta 0.500 0.201 0.964
Ta 0.500 0.799 0.036
Ta 0.000 0.687 0.443
Ta 0.000 0.313 0.557
Ta 0.000 0.187 0.057
Ta 0.000 0.813 0.943
Ta 0.000 0.402 0.393
Ta 0.000 0.598 0.607
Ta 0.000 0.902 0.107
Ta 0.000 0.098 0.893

- Volume: 28.228 Å³/atom
- Density of states at the Fermi level: 30.17 states/eV/cell
- Formation energy from raw total energies: -3.2 eV/f.u.
- Total magnetic moment: 0.002 μB per formula unit


9.
VASP calculation (PBE) on a relaxed Mg2SnAs crystal.

Cell: 3.989 3.989 7.441 Å, 74.45 74.45 60.00°
Fractional positions:
Mg 0.272 0.272 0.183
Mg 0.728 0.728 0.817
As 0.000 0.000 0.000
Sn 0.500 0.500 0.500

- Volume: 24.373 Å³/atom
- Density of states at the Fermi level: 1.94 states/eV/cell
- Energy relative to the elements: -0.220 eV/atom
- ΔE to the lowest computed polymorph: 0.039 eV per atom
- Total magnetic moment: 0.000 μB per formula unit


10.
VASP calculation (PBE) on a relaxed Li2AgBiI6 crystal.

Cell: 7.619 7.618 8.255 Å, 62.54 62.55 59.99°
Fractional positions:
Li 0.512 0.512 0.465
Li 0.004 0.004 0.988
Ag 0.812 0.812 0.563
Bi 0.326 0.326 0.022
I 0.608 0.230 0.252
I 0.231 0.910 0.251
I 0.910 0.608 0.251
I 0.404 0.746 0.741
I 0.746 0.109 0.741
I 0.109 0.404 0.741

- Volume: 35.124 Å³/atom
- Density of states at the Fermi level: 0.00 states/eV/cell
- Formation energy from raw total energies: -6.7 eV/f.u.
- Total magnetic moment: 0.000 μB per formula unit


11.
VASP calculation (PBE) on a relaxed BeCrSe crystal.

Cell: 4.327 4.327 3.056 Å, 69.32 69.32 41.36°
Fractional positions:
Cr 0.667 0.667 0.333
Se 0.329 0.329 0.671
Be 0.004 0.004 0.996

- Volume: 11.667 Å³/atom
- Density of states at the Fermi level: 0.59 states/eV/cell
- ΔE to the lowest computed polymorph: 0.000 eV per atom
- Formation energy from raw total energies: 0.2 eV/f.u.
- Total magnetic moment: 0.000 μB per formula unit


12.
VASP calculation (PBE) on a relaxed ZrV2Br6 crystal.

Cell: 6.585 9.138 9.138 Å, 79.23 67.97 67.97°
Last column: magnetic moment on the atom in μB.
Fractional positions:
Zr 0.250 0.073 0.927  -0.44
Zr 0.750 0.927 0.073  -0.44
V 0.996 0.671 0.835  2.39
V 0.504 0.165 0.329  2.39
V 0.004 0.329 0.165  2.39
V 0.496 0.835 0.671  2.39
Br 0.295 0.708 0.570  -0.02
Br 0.205 0.430 0.292  -0.02
Br 0.705 0.292 0.430  -0.02
Br 0.795 0.570 0.708  -0.02
Br 0.781 0.880 0.377  -0.02
Br 0.719 0.623 0.120  -0.02
Br 0.219 0.120 0.623  -0.02
Br 0.281 0.377 0.880  -0.02
Br 0.229 0.767 0.971  -0.01
Br 0.271 0.029 0.233  -0.01
Br 0.771 0.233 0.029  -0.01
Br 0.729 0.971 0.767  -0.01

- Volume: 26.209 Å³/atom
- Density of states at the Fermi level: 5.62 states/eV/cell
- Formation energy from raw total energies: -7.2 eV/f.u.
- Total magnetic moment: 4.735 μB per formula unit


The highest total magnetic moment belongs to which entry?
ZrV2Br6


Which formula does entry 1 have?
PmHfMo4


Which value of volume does entry 4 give?
41.447 Å³/atom


The highest total magnetic moment belongs to which entry?
ZrV2Br6